# 1
Compound: Li2CeSm2Pb2
Source: Alexandria
Functional: PBE-GGA
Structure: optimized geometry

Values from the calculation:
**Total magnetic moment**: 4.367 Bohr magnetons per cell
**DOS at the Fermi energy**: 10.29 states/eV/f.u.
**Energy of formation**: -0.290 eV/atom
**E**: -4.092 eV per atom

a b c (Å): 4.9252 4.9252 27.3370
angles (deg): 90.00 90.00 120.00
Last column: nearest neighbours and their distance in Å.
Space group R-3m (No. 166, hexagonal axes)
Unique sites:
Li (0.0000, 0.0000, 0.0927)  3 Pb 2.85
Ce (0.0000, 0.0000, 0.5000)  6 Pb 3.42, 6 Li 3.49, 2 Sm 3.53
Sm (0.0000, 0.0000, 0.3708)  3 Li 3.22, 3 Pb 3.28, 3 Sm 3.50, 1 Ce 3.53
Pb (0.0000, 0.0000, 0.2363)  3 Li 2.85

=====

# 2
Compound: LiCeSmPb
Source: Alexandria
Functional: PBE-GGA
Structure: optimized geometry

Values from the calculation:
**Total magnetic moment**: 6.182 Bohr magnetons per cell
**DOS at the Fermi energy**: 11.10 states/eV/f.u.
**Energy of formation**: -0.198 eV/atom
**E**: -4.267 eV per atom

a b c (Å): 7.6777 7.6777 7.6777
angles (deg): 90.00 90.00 90.00
Last column: nearest neighbours and their distance in Å.
Space group F-43m (No. 216)
Unique sites:
Li (0.0000, 0.0000, 0.0000)  4 Sm 3.32, 4 Ce 3.32
Ce (0.2500, 0.2500, 0.7500)  4 Pb 3.32, 4 Li 3.32
Sm (0.2500, 0.2500, 0.2500)  4 Pb 3.32, 4 Li 3.32
Pb (0.0000, 0.0000, 0.5000)  4 Ce 3.32, 4 Sm 3.32

=====

# 3
Compound: LiCeSnPb
Source: Alexandria
Functional: PBE-GGA
Structure: optimized geometry

Values from the calculation:
**Total magnetic moment**: 0.929 Bohr magnetons per cell
**Energy above the most stable polymorph in this dataset**: 0 meV/atom
**DOS at the Fermi energy**: 5.74 states/eV/f.u.
**Energy of formation**: -0.447 eV/atom
**E**: -4.337 eV per atom

a b c (Å): 4.5027 4.7485 4.8506
angles (deg): 90.00 90.00 90.00
Last column: nearest neighbours and their distance in Å.
Space group Pmmm (No. 47)
Unique sites:
Li (0.0000, 0.0000, 0.0000)  4 Pb 3.27, 4 Sn 3.31, 4 Ce 3.39
Ce (0.0000, 0.5000, 0.5000)  4 Sn 3.27, 4 Pb 3.31, 4 Li 3.39
Sn (0.5000, 0.0000, 0.5000)  4 Ce 3.27, 4 Li 3.31, 4 Pb 3.39
Pb (0.5000, 0.5000, 0.0000)  4 Li 3.27, 4 Ce 3.31, 4 Sn 3.39

=====

# 4
Compound: LiCeSnPb
Source: Alexandria
Functional: PBE-GGA
Structure: optimized geometry

Values from the calculation:
**Total magnetic moment**: 2.081 Bohr magnetons per cell
**Energy above the most stable polymorph in this dataset**: 76 meV/atom
**DOS at the Fermi energy**: 4.31 states/eV/f.u.
**Energy of formation**: -0.371 eV/atom
**E**: -4.260 eV per atom

a b c (Å): 7.4789 7.4789 7.4789
angles (deg): 90.00 90.00 90.00
Last column: nearest neighbours and their distance in Å.
Space group F-43m (No. 216)
Unique sites:
Li (0.0000, 0.0000, 0.0000)  4 Sn 3.24, 4 Pb 3.24
Ce (0.0000, 0.0000, 0.5000)  4 Pb 3.24, 4 Sn 3.24
Sn (0.2500, 0.2500, 0.7500)  4 Ce 3.24, 4 Li 3.24
Pb (0.2500, 0.2500, 0.2500)  4 Ce 3.24, 4 Li 3.24

=====

# 5
Compound: SrLiCePb
Source: Alexandria
Functional: PBE-GGA
Structure: optimized geometry

Values from the calculation:
**Total magnetic moment**: 5.102 Bohr magnetons per cell
**DOS at the Fermi energy**: 10.54 states/eV/f.u.
**Energy of formation**: -0.178 eV/atom
**E**: -3.487 eV per atom

a b c (Å): 7.9663 7.9663 7.9663
angles (deg): 90.00 90.00 90.00
Last column: nearest neighbours and their distance in Å.
Space group F-43m (No. 216)
Unique sites:
Sr (0.0000, 0.0000, 0.0000)  4 Pb 3.45, 4 Li 3.45
Li (0.2500, 0.2500, 0.2500)  4 Ce 3.45, 4 Sr 3.45
Ce (0.0000, 0.0000, 0.5000)  4 Pb 3.45, 4 Li 3.45
Pb (0.2500, 0.2500, 0.7500)  4 Ce 3.45, 4 Sr 3.45

=====

# 6
Compound: Li2TbCe2Pb2
Source: Alexandria
Functional: PBE-GGA
Structure: optimized geometry

Values from the calculation:
**Total magnetic moment**: 7.432 Bohr magnetons per cell
**DOS at the Fermi energy**: 11.43 states/eV/f.u.
**Energy of formation**: -0.293 eV/atom
**E**: -4.256 eV per atom

a b c (Å): 4.6686 4.6686 27.6113
angles (deg): 90.00 90.00 120.00
Last column: nearest neighbours and their distance in Å.
Space group R-3m (No. 166, hexagonal axes)
Unique sites:
Li (0.0000, 0.0000, 0.0883)  3 Pb 2.72
Tb (0.0000, 0.0000, 0.5000)  6 Pb 3.25, 6 Li 3.46
Ce (0.0000, 0.0000, 0.3559)  3 Ce 2.97, 3 Li 3.25
Pb (0.0000, 0.0000, 0.2325)  3 Li 2.72

=====

# 7
Compound: LiTbCePb
Source: Alexandria
Functional: PBE-GGA
Structure: optimized geometry

Values from the calculation:
**Total magnetic moment**: 6.032 Bohr magnetons per cell
**DOS at the Fermi energy**: 11.19 states/eV/f.u.
**Energy of formation**: -0.186 eV/atom
**E**: -4.232 eV per atom

a b c (Å): 7.6182 7.6182 7.6182
angles (deg): 90.00 90.00 90.00
Last column: nearest neighbours and their distance in Å.
Space group F-43m (No. 216)
Unique sites:
Li (0.0000, 0.0000, 0.0000)  4 Tb 3.30, 4 Ce 3.30
Tb (0.2500, 0.2500, 0.7500)  4 Pb 3.30, 4 Li 3.30
Ce (0.2500, 0.2500, 0.2500)  4 Li 3.30, 4 Pb 3.30
Pb (0.0000, 0.0000, 0.5000)  4 Ce 3.30, 4 Tb 3.30

=====

# 8
Compound: LiCeTlPb
Source: Alexandria
Functional: PBE-GGA
Structure: optimized geometry

Values from the calculation:
**Total magnetic moment**: 4.638 Bohr magnetons per cell
**DOS at the Fermi energy**: 6.42 states/eV/f.u.
**Energy of formation**: -0.291 eV/atom
**E**: -3.772 eV per atom

a b c (Å): 7.5305 7.5305 7.5305
angles (deg): 90.00 90.00 90.00
Last column: nearest neighbours and their distance in Å.
Space group F-43m (No. 216)
Unique sites:
Li (0.0000, 0.0000, 0.0000)  4 Tl 3.26, 4 Pb 3.26
Ce (0.0000, 0.0000, 0.5000)  4 Tl 3.26, 4 Pb 3.26
Tl (0.2500, 0.2500, 0.2500)  4 Ce 3.26, 4 Li 3.26
Pb (0.2500, 0.2500, 0.7500)  4 Ce 3.26, 4 Li 3.26

=====

# 9
Compound: Li2Ce2TmPb2
Source: Alexandria
Functional: PBE-GGA
Structure: optimized geometry

Values from the calculation:
**Total magnetic moment**: 7.819 Bohr magnetons per cell
**DOS at the Fermi energy**: 11.14 states/eV/f.u.
**Energy of formation**: -0.271 eV/atom
**E**: -4.211 eV per atom

a b c (Å): 4.6684 4.6684 27.2154
angles (deg): 90.00 90.00 120.00
Last column: nearest neighbours and their distance in Å.
Space group R-3m (No. 166, hexagonal axes)
Unique sites:
Li (0.0000, 0.0000, 0.0910)  3 Pb 2.71
Ce (0.0000, 0.0000, 0.3566)  3 Ce 2.98, 3 Li 3.27
Tm (0.0000, 0.0000, 0.5000)  6 Pb 3.21, 6 Li 3.39
Pb (0.0000, 0.0000, 0.2309)  3 Li 2.71

=====

# 10
Compound: Li2CeY2Pb2
Source: Alexandria
Functional: PBE-GGA
Structure: optimized geometry

Values from the calculation:
**Total magnetic moment**: 5.619 Bohr magnetons per cell
**DOS at the Fermi energy**: 10.08 states/eV/f.u.
**Energy of formation**: -0.294 eV/atom
**E**: -4.594 eV per atom

a b c (Å): 4.8995 4.8995 27.1164
angles (deg): 90.00 90.00 120.00
Last column: nearest neighbours and their distance in Å.
Space group R-3m (No. 166, hexagonal axes)
Unique sites:
Li (0.0000, 0.0000, 0.0873)  3 Pb 2.84, 3 Y 3.14
Ce (0.0000, 0.0000, 0.5000)  6 Pb 3.44, 2 Y 3.53, 6 Li 3.55
Y (0.0000, 0.0000, 0.3700)  3 Li 3.14, 3 Pb 3.23, 3 Y 3.46
Pb (0.0000, 0.0000, 0.2388)  3 Li 2.84

=====

# 11
Compound: LiCeZnPb
Source: Alexandria
Functional: PBE-GGA
Structure: optimized geometry

Values from the calculation:
**Total magnetic moment**: 3.345 Bohr magnetons per cell
**DOS at the Fermi energy**: 6.61 states/eV/f.u.
**Energy of formation**: -0.273 eV/atom
**E**: -3.480 eV per atom

a b c (Å): 7.2697 7.2697 7.2697
angles (deg): 90.00 90.00 90.00
Last column: nearest neighbours and their distance in Å.
Space group F-43m (No. 216)
Unique sites:
Li (0.0000, 0.0000, 0.0000)  4 Pb 3.15, 4 Zn 3.15
Ce (0.0000, 0.0000, 0.5000)  4 Pb 3.15, 4 Zn 3.15
Zn (0.2500, 0.2500, 0.2500)  4 Ce 3.15, 4 Li 3.15
Pb (0.2500, 0.2500, 0.7500)  4 Ce 3.15, 4 Li 3.15

=====

# 12
Compound: Li2CePd
Source: Alexandria
Functional: PBE-GGA
Structure: optimized geometry

Values from the calculation:
**Total magnetic moment**: 0.003 Bohr magnetons per cell
**DOS at the Fermi energy**: 4.18 states/eV/f.u.
**Energy of formation**: -0.091 eV/atom
**E**: -3.829 eV per atom

a b c (Å): 2.8892 2.8892 31.0640
angles (deg): 90.00 90.00 120.00
Last column: nearest neighbours and their distance in Å.
Space group R-3m (No. 166, hexagonal axes)
Unique sites:
Li (0.0000, 0.0000, 0.1015)  3 Pd 2.62, 6 Li 2.89
Ce (0.0000, 0.0000, 0.0000)  6 Ce 2.89, 2 Li 3.15
Pd (0.0000, 0.0000, 0.5000)  6 Li 2.62, 6 Pd 2.89

=====

# 13
Compound: Li4CePd5
Source: Alexandria
Functional: PBE-GGA
Structure: optimized geometry

Values from the calculation:
**Total magnetic moment**: 0.415 Bohr magnetons per cell
**DOS at the Fermi energy**: 6.76 states/eV/f.u.
**Energy of formation**: -0.456 eV/atom
**E**: -4.411 eV per atom

a b c (Å): 3.1304 3.1304 15.5600
angles (deg): 90.00 90.00 90.00
Last column: nearest neighbours and their distance in Å.
Space group P4/mmm (No. 123)
Unique sites:
Li (0.0000, 0.0000, 0.0917)  8 Pd 2.63-2.64, 2 Li 2.83-2.85
Li (0.0000, 0.0000, 0.2735)  8 Pd 2.61-2.67, 1 Li 2.83
Ce (0.0000, 0.0000, 0.5000)  8 Pd 3.00, 4 Ce 3.13
Pd (0.5000, 0.5000, 0.0000)  8 Li 2.63, 2 Pd 2.87
Pd (0.5000, 0.5000, 0.1847)  8 Li 2.61-2.64, 2 Pd 2.87-2.88
Pd (0.5000, 0.5000, 0.3700)  4 Li 2.67, 1 Pd 2.88

=====

# 14
Compound: LiCePd
Source: Alexandria
Functional: PBE-GGA
Structure: optimized geometry

Values from the calculation:
**Total magnetic moment**: 1.820 Bohr magnetons per cell
**Energy above the most stable polymorph in this dataset**: 140 meV/atom
**DOS at the Fermi energy**: 5.91 states/eV/f.u.
**Energy of formation**: -0.304 eV/atom
**E**: -4.651 eV per atom

a b c (Å): 3.4638 3.4638 10.2341
angles (deg): 90.00 90.00 90.00
Last column: nearest neighbours and their distance in Å.
Space group I4mm (No. 107)
Unique sites:
Li (0.0000, 0.0000, 0.0000)  4 Pd 2.73, 1 Ce 2.94
Ce (0.0000, 0.0000, 0.2873)  5 Li 2.94-3.28, 4 Pd 3.00
Pd (0.0000, 0.0000, 0.6180)  4 Li 2.73, 4 Ce 3.00

=====

# 15
Compound: LiCe2Pd
Source: Alexandria
Functional: PBE-GGA
Structure: optimized geometry

Values from the calculation:
**Total magnetic moment**: 0.292 Bohr magnetons per cell
**Energy above the most stable polymorph in this dataset**: 25 meV/atom
**DOS at the Fermi energy**: 8.70 states/eV/f.u.
**Energy of formation**: -0.162 eV/atom
**E**: -4.906 eV per atom

a b c (Å): 4.3533 4.3533 4.4932
angles (deg): 90.00 90.00 90.00
Last column: nearest neighbours and their distance in Å.
Space group P4/mmm (No. 123)
Unique sites:
Li (0.0000, 0.0000, 0.0000)  4 Pd 3.08, 8 Ce 3.13
Ce (0.0000, 0.5000, 0.5000)  4 Ce 3.08, 4 Pd 3.13, 4 Li 3.13
Pd (0.5000, 0.5000, 0.0000)  4 Li 3.08, 8 Ce 3.13

=====

# 16
Compound: Li2CePd3
Source: Alexandria
Functional: PBE-GGA
Structure: optimized geometry

Values from the calculation:
**Total magnetic moment**: 1.480 Bohr magnetons per cell
**DOS at the Fermi energy**: 7.28 states/eV/f.u.
**Energy of formation**: -0.538 eV/atom
**E**: -4.762 eV per atom

a b c (Å): 4.4606 4.4606 12.0446
angles (deg): 90.00 90.00 120.00
Last column: nearest neighbours and their distance in Å.
Space group P6_3/mmc (No. 194)
Unique sites:
Li (0.3333, 0.6667, 0.0765)  7 Pd 2.51-2.74
Ce (0.0000, 0.0000, 0.2500)  8 Pd 2.94-3.01
Pd (0.0000, 0.0000, 0.0000)  6 Li 2.74, 2 Ce 3.01, 6 Pd 3.03
Pd (0.3333, 0.6667, 0.6323)  4 Li 2.51-2.66

=====

# 17
Compound: Li2CePd6
Source: Alexandria
Functional: PBE-GGA
Structure: optimized geometry

Values from the calculation:
**Total magnetic moment**: 0.004 Bohr magnetons per cell
**DOS at the Fermi energy**: 3.70 states/eV/f.u.
**Energy of formation**: -0.445 eV/atom
**E**: -4.992 eV per atom

a b c (Å): 4.6446 7.5424 8.5257
angles (deg): 90.00 90.00 90.00
Last column: nearest neighbours and their distance in Å.
Space group Immm (No. 71)
Unique sites:
Li (0.0000, 0.0000, 0.1471)  1 Li 2.51, 8 Pd 2.56-2.80
Ce (0.0000, 0.0000, 0.5000)  8 Pd 2.78-2.79, 2 Li 3.01
Pd (0.0000, 0.2960, 0.0000)  2 Li 2.56, 2 Pd 2.78, 2 Ce 2.79
Pd (0.0000, 0.3111, 0.3260)  3 Li 2.73-2.80, 1 Ce 2.78, 7 Pd 2.78-2.97

=====

# 18
Compound: LiCePd
Source: Alexandria
Functional: PBE-GGA
Structure: optimized geometry

Values from the calculation:
**Total magnetic moment**: 6.092 Bohr magnetons per cell
**Energy above the most stable polymorph in this dataset**: 0 meV/atom
**DOS at the Fermi energy**: 6.57 states/eV/f.u.
**Energy of formation**: -0.444 eV/atom
**E**: -4.791 eV per atom

a b c (Å): 7.3498 4.0615 12.6825
angles (deg): 90.00 91.01 90.00
Last column: nearest neighbours and their distance in Å.
Space group P2_1/m (No. 11)
Unique sites:
Li (0.0110, 0.2500, 0.0793)  4 Pd 2.72-2.86, 3 Li 2.86-3.04
Li (0.1245, 0.7500, 0.5378)  4 Pd 2.73-2.86, 2 Li 2.89
Li (0.3721, 0.2500, 0.1992)  4 Pd 2.65-2.90
Ce (0.0499, 0.7500, 0.2871)  5 Pd 3.00-3.04, 7 Li 3.22-3.34
Ce (0.3344, 0.2500, 0.9183)  5 Pd 2.96-3.01, 3 Li 3.16-3.25
Ce (0.4547, 0.2500, 0.6252)  5 Pd 3.00-3.04, 4 Li 3.26-3.34
Pd (0.2443, 0.7500, 0.7531)  3 Li 2.85-2.87, 6 Ce 2.98-3.04
Pd (0.2553, 0.2500, 0.4164)  4 Li 2.73-2.90, 5 Ce 3.00
Pd (0.2562, 0.7500, 0.0814)  5 Li 2.65-2.81, 2 Ce 2.96

=====

# 19
Compound: Li2CePd9
Source: Alexandria
Functional: PBE-GGA
Structure: optimized geometry

Values from the calculation:
**Total magnetic moment**: 0.000 Bohr magnetons per cell
**DOS at the Fermi energy**: 12.03 states/eV/f.u.
**Energy of formation**: -0.447 eV/atom
**E**: -5.155 eV per atom

a b c (Å): 4.0868 4.0868 11.4246
angles (deg): 90.00 90.00 90.00
Last column: nearest neighbours and their distance in Å.
Space group P4/mmm (No. 123)
Unique sites:
Li (0.0000, 0.0000, 0.1556)  12 Pd 2.71-2.89
Ce (0.0000, 0.0000, 0.5000)  12 Pd 2.89
Pd (0.0000, 0.5000, 0.0000)  4 Li 2.71, 8 Pd 2.73-2.89
Pd (0.0000, 0.5000, 0.3211)  8 Pd 2.76-2.89, 2 Li 2.78, 2 Ce 2.89
Pd (0.5000, 0.5000, 0.1588)  8 Pd 2.73-2.76, 4 Li 2.89
Pd (0.5000, 0.5000, 0.5000)  4 Ce 2.89, 8 Pd 2.89

=====

# 20
Compound: LiCe3Pd12
Source: Alexandria
Functional: PBE-GGA
Structure: optimized geometry

Values from the calculation:
**Total magnetic moment**: 0.108 Bohr magnetons per cell
**DOS at the Fermi energy**: 13.55 states/eV/f.u.
**Energy of formation**: -0.691 eV/atom
**E**: -5.818 eV per atom

a b c (Å): 4.1401 4.1401 16.0612
angles (deg): 90.00 90.00 90.00
Last column: nearest neighbours and their distance in Å.
Space group P4/mmm (No. 123)
Unique sites:
Li (0.0000, 0.0000, 0.0000)  12 Pd 2.79-2.93
Ce (0.0000, 0.0000, 0.2364)  12 Pd 2.83-2.99
Ce (0.0000, 0.0000, 0.5000)  12 Pd 2.93
Pd (0.0000, 0.5000, 0.1163)  2 Li 2.79, 8 Pd 2.79-2.93, 2 Ce 2.83
Pd (0.0000, 0.5000, 0.3709)  8 Pd 2.91-2.93, 4 Ce 2.93-2.99
Pd (0.5000, 0.5000, 0.0000)  8 Pd 2.79, 4 Li 2.93
Pd (0.5000, 0.5000, 0.2439)  8 Pd 2.91, 4 Ce 2.93
Pd (0.5000, 0.5000, 0.5000)  4 Ce 2.93, 8 Pd 2.93